1.
NdDy3Sc2 | Alexandria | PBE | relaxed; energy relative to the elements = 153 meV/atom; DOS at the Fermi energy = 10.06 states/eV/f.u.; symmetry = C2/m; total magnetic moment = 0.00 μB per formula unit; energy = -5.05 eV/atom
1.0
11.347 -1.700 0.000
11.347 1.700 0.000
-3.057 0.000 9.440
Nd Dy Sc
2 6 4
Cartesian
3.993 0.000 0.432 Nd
15.644 0.000 9.008 Nd
0.033 0.000 4.125 Dy
2.312 0.000 6.686 Dy
9.130 0.000 2.178 Dy
10.506 0.000 7.262 Dy
17.325 0.000 2.755 Dy
19.603 0.000 5.315 Dy
3.210 0.000 3.537 Sc
7.142 0.000 8.099 Sc
12.495 0.000 1.341 Sc
16.426 0.000 5.904 Sc

2.
Mo3Pb | Alexandria | PBE | relaxed; energy relative to the elements = 496 meV/atom; DOS at the Fermi energy = 3.33 states/eV/f.u.; symmetry = Immm; total magnetic moment = 0.00 μB per formula unit; energy = -8.55 eV/atom
1.0
-1.677 2.263 4.609
1.677 -2.263 4.609
1.677 2.263 -4.609
Mo Pb
3 1
Cartesian
0.000 0.000 0.000 Mo
1.677 0.000 2.190 Mo
0.000 2.263 2.419 Mo
0.000 0.000 4.609 Pb

3.
Er6SbS4 | Alexandria | PBE | relaxed; DOS at the Fermi energy = 7.21 states/eV/f.u.; symmetry = Cmcm; raw formation energy = -1629.0 meV/atom; total magnetic moment = 0.00 μB per formula unit; energy = -5.99 eV/atom
1.0
1.973 -6.349 0.000
1.973 6.349 0.000
0.000 0.000 19.827
Er Sb S
12 2 8
Cartesian
0.000 0.000 0.000 Er
0.000 0.000 9.913 Er
1.973 4.421 14.870 Er
1.973 2.902 1.755 Er
1.973 2.902 8.159 Er
1.973 0.559 13.072 Er
1.973 0.559 16.669 Er
1.973 -0.559 3.158 Er
1.973 -0.559 6.755 Er
1.973 -2.902 11.668 Er
1.973 -2.902 18.072 Er
1.973 -4.421 4.957 Er
1.973 4.227 4.957 Sb
1.973 -4.227 14.870 Sb
1.973 5.195 12.330 S
1.973 5.195 17.410 S
1.973 1.776 10.659 S
1.973 1.776 19.082 S
1.973 -1.776 0.745 S
1.973 -1.776 9.168 S
1.973 -5.195 2.417 S
1.973 -5.195 7.497 S

4.
FeAsPt2Rh | Alexandria | PBE | relaxed; energy relative to the elements = 769 meV/atom; DOS at the Fermi energy = 5.20 states/eV/f.u.; symmetry = P4/mmm; total magnetic moment = 4.27 μB per formula unit; energy = -5.74 eV/atom
1.0
4.606 0.000 0.000
0.000 4.606 0.000
0.000 0.000 4.404
Fe As Pt Rh
1 1 2 1
Cartesian
0.000 0.000 0.000 Fe
0.000 0.000 2.202 As
0.000 2.303 2.202 Pt
2.303 0.000 2.202 Pt
2.303 2.303 0.000 Rh